# 1
Pr2Te5: relaxed, PBE.

Lattice parameters (Å, degrees): 23.1150 23.1150 4.4523 90.00 90.00 168.95
Fractional positions:
Te 0.1743 0.8257 0.2500
Te 0.0458 0.9542 0.7500
Pr 0.6942 0.3058 0.7500
Te 0.8257 0.1743 0.7500
Te 0.2500 0.7500 0.7500
Te 0.7500 0.2500 0.2500
Te 0.3774 0.6226 0.2500
Pr 0.3058 0.6942 0.2500
Pr 0.8983 0.1017 0.7500
Te 0.9542 0.0458 0.2500
Pr 0.1017 0.8983 0.2500
Te 0.5458 0.4542 0.2500
Te 0.4542 0.5458 0.7500
Te 0.6226 0.3774 0.7500

Values from the calculation:
Energy in eV per atom: -4.733
Formation energy (no corrections) in kcal/mol of atoms: -25.91
Symmetry: Cmcm (63)
Crystal system: orthorhombic

---

# 2
PrThTe3: relaxed, PBE.

Lattice parameters (Å, degrees): 4.3912 8.5230 17.6857 90.00 90.00 90.00
Each line ends with the local moment (μB).
Fractional positions:
Te 0.2500 0.3858 0.5692  0.00
Te 0.2500 0.8858 0.9308  0.00
Te 0.7500 0.5025 0.8965  0.00
Pr 0.7500 0.4098 0.7031  0.06
Te 0.2500 0.6861 0.7193  0.00
Pr 0.2500 0.5902 0.2969  0.06
Th 0.2500 0.7621 0.5420  0.17
Th 0.7500 0.2379 0.4580  0.17
Te 0.2500 0.1861 0.7807  0.00
Te 0.2500 0.9975 0.3965  0.00
Te 0.7500 0.8139 0.2193  0.00
Te 0.7500 0.3139 0.2807  0.00
Te 0.2500 0.4975 0.1035  0.00
Te 0.7500 0.0025 0.6035  0.00
Th 0.2500 0.2621 0.9580  0.17
Pr 0.7500 0.9098 0.7969  0.06
Te 0.7500 0.1142 0.0692  0.00
Th 0.7500 0.7379 0.0420  0.17
Pr 0.2500 0.0902 0.2031  0.06
Te 0.7500 0.6142 0.4308  0.00

Values from the calculation:
Energy in eV per atom: -5.649
Formation energy (no corrections) in kcal/mol of atoms: -30.53
Symmetry: Pnma (62)
Crystal system: orthorhombic
ΔE to the lowest computed polymorph in eV per atom: 0.000

---

# 3
PrTh2Te4: relaxed, PBE.

Lattice parameters (Å, degrees): 4.2658 7.4043 15.9619 90.00 90.00 106.74
Fractional positions:
Te 0.5000 0.0000 0.0000
Te 0.2064 0.4127 0.8693
Te 0.0642 0.1284 0.2500
Th 0.1485 0.2970 0.0616
Te 0.7936 0.5873 0.1307
Te 0.7936 0.5873 0.3693
Th 0.8515 0.7030 0.9384
Th 0.8515 0.7030 0.5616
Te 0.5000 0.0000 0.5000
Te 0.2064 0.4127 0.6307
Pr 0.6054 0.2107 0.7500
Th 0.1485 0.2970 0.4384
Te 0.9358 0.8716 0.7500
Pr 0.3946 0.7893 0.2500

Values from the calculation:
Energy in eV per atom: -5.769
Formation energy (no corrections) in kcal/mol of atoms: -27.00
Symmetry: Cmcm (63)
Crystal system: orthorhombic
ΔE to the lowest computed polymorph in eV per atom: 0.015

---

# 4
Pr2Th3Te8: relaxed, PBE.

Lattice parameters (Å, degrees): 5.4566 10.8051 9.4198 125.01 90.00 90.00
Each line ends with the local moment (μB).
Fractional positions:
Te 0.5000 0.6372 0.7556  0.00
Te 0.5000 0.1183 0.7555  0.00
Th 0.0000 0.7381 0.0001  0.16
Te 0.0000 0.3745 0.7490  0.01
Pr 0.5000 0.7355 0.4710  0.04
Th 0.5000 0.0000 0.0000  0.29
Te 0.0000 0.1167 0.2333  -0.01
Pr 0.5000 0.2645 0.5290  0.04
Te 0.0000 0.8833 0.7667  -0.01
Te 0.5000 0.8817 0.2445  0.00
Te 0.0000 0.6255 0.2510  0.01
Th 0.0000 0.2619 0.9999  0.16
Te 0.5000 0.3628 0.2444  0.00

Values from the calculation:
Energy in eV per atom: -5.599
Formation energy (no corrections) in kcal/mol of atoms: -28.10
Symmetry: Cmmm (65)
Crystal system: orthorhombic
ΔE to the lowest computed polymorph in eV per atom: 0.000

---

# 5
PrThTe4: relaxed, PBE.

Lattice parameters (Å, degrees): 7.8114 7.7634 7.6160 90.00 91.62 90.00
Fractional positions:
Te 0.3459 0.8487 0.1367
Te 0.1541 0.3487 0.8633
Te 0.6541 0.1513 0.8633
Te 0.3761 0.3729 0.3712
Te 0.1239 0.8729 0.6288
Th 0.5000 0.5000 0.0000
Te 0.8761 0.1271 0.3712
Th 0.0000 0.0000 0.0000
Te 0.6239 0.6271 0.6288
Pr 0.0000 0.5000 0.5000
Te 0.8459 0.6513 0.1367
Pr 0.5000 0.0000 0.5000

Values from the calculation:
Energy in eV per atom: -5.092
Formation energy (no corrections) in kcal/mol of atoms: -22.25
Symmetry: P2_1/c (14)
Crystal system: monoclinic
ΔE to the lowest computed polymorph in eV per atom: 0.009

---

# 6
Pr2ThTe3: relaxed, PBE.

Lattice parameters (Å, degrees): 4.5298 6.3746 7.7916 114.15 106.90 90.00
Fractional positions:
Te 0.8365 0.3365 0.1730
Pr 0.1714 0.1714 0.8428
Th 0.5000 0.5000 0.5000
Te 0.5000 0.0000 0.5000
Te 0.1635 0.6635 0.8270
Pr 0.8286 0.8286 0.1572

Values from the calculation:
Energy in eV per atom: -5.684
Formation energy (no corrections) in kcal/mol of atoms: -29.59
Symmetry: Immm (71)
Crystal system: orthorhombic

---

# 7
PrTh4Te5: relaxed, PBE.

Lattice parameters (Å, degrees): 3.8608 3.8608 19.3189 90.00 90.00 90.00
Fractional positions:
Pr 0.0000 0.0000 0.0000
Te 0.5000 0.5000 0.3006
Th 0.0000 0.0000 0.5998
Th 0.0000 0.0000 0.2003
Th 0.0000 0.0000 0.7997
Te 0.5000 0.5000 0.5000
Te 0.5000 0.5000 0.1030
Te 0.5000 0.5000 0.8970
Te 0.5000 0.5000 0.6994
Th 0.0000 0.0000 0.4002

Values from the calculation:
Energy in eV per atom: -6.161
Formation energy (no corrections) in kcal/mol of atoms: -26.40
Symmetry: P4/mmm (123)
Crystal system: tetragonal

---

# 8
Pr4ThTe5: relaxed, PBE.

Lattice parameters (Å, degrees): 6.3886 7.8261 7.8261 80.41 65.91 65.91
Fractional positions:
Pr 0.4067 0.3970 0.7912
Te 0.1025 0.6031 0.1935
Te 0.5019 0.0000 0.0000
Te 0.7056 0.1935 0.3969
Pr 0.8036 0.7912 0.6030
Te 0.8991 0.3969 0.8065
Pr 0.5949 0.6030 0.2088
Te 0.2961 0.8065 0.6031
Th 0.0019 0.0000 0.0000
Pr 0.1979 0.2088 0.3970

Values from the calculation:
Energy in eV per atom: -5.574
Formation energy (no corrections) in kcal/mol of atoms: -31.11
Symmetry: I4 (79)
Crystal system: tetragonal

---

# 9
PrTh3Te6: relaxed, PBE.

Lattice parameters (Å, degrees): 4.2528 11.6845 13.8233 104.88 90.00 90.00
Fractional positions:
Pr 0.2500 0.9600 0.3018
Te 0.2500 0.5827 0.9014
Te 0.2500 0.5270 0.3736
Te 0.7500 0.7960 0.7560
Te 0.7500 0.8510 0.0966
Th 0.2500 0.8732 0.9262
Te 0.7500 0.4173 0.0986
Te 0.2500 0.2040 0.2440
Te 0.2500 0.1490 0.9034
Th 0.7500 0.6815 0.5219
Te 0.2500 0.2481 0.6905
Pr 0.7500 0.0400 0.6982
Th 0.2500 0.3185 0.4781
Th 0.2500 0.6279 0.1373
Th 0.7500 0.1268 0.0738
Te 0.7500 0.4730 0.6264
Te 0.2500 0.8862 0.5387
Te 0.7500 0.7519 0.3095
Th 0.7500 0.3721 0.8627
Te 0.7500 0.1138 0.4613

Values from the calculation:
Energy in eV per atom: -5.796
Formation energy (no corrections) in kcal/mol of atoms: -27.84
Symmetry: P2_1/m (11)
Crystal system: monoclinic

---

# 10
PrTh2Te6: relaxed, PBE.

Lattice parameters (Å, degrees): 7.4395 7.4395 13.9412 90.00 90.00 90.00
Fractional positions:
Pr 0.5000 0.5000 0.0000
Th 0.5000 0.5000 0.3332
Te 0.7031 0.7031 0.8298
Pr 0.0000 0.0000 0.5000
Te 0.2969 0.2969 0.1702
Th 0.5000 0.5000 0.6668
Te 0.7969 0.2031 0.3298
Te 0.1971 0.8029 0.0000
Te 0.7969 0.2031 0.6702
Te 0.2031 0.7969 0.6702
Te 0.7031 0.7031 0.1702
Te 0.3029 0.3029 0.5000
Th 0.0000 0.0000 0.1668
Te 0.8029 0.1971 0.0000
Te 0.2031 0.7969 0.3298
Th 0.0000 0.0000 0.8332
Te 0.6971 0.6971 0.5000
Te 0.2969 0.2969 0.8298

Values from the calculation:
Energy in eV per atom: -5.297
Formation energy (no corrections) in kcal/mol of atoms: -23.59
Symmetry: P4_2/mnm (136)
Crystal system: tetragonal

---

# 11
PrTh2Te4: relaxed, PBE.

Lattice parameters (Å, degrees): 5.4154 5.4154 7.6375 90.00 90.00 90.00
Fractional positions:
Th 0.5000 0.5000 0.5000
Th 0.0000 0.0000 0.0000
Te 0.0000 0.5000 0.2483
Pr 0.5000 0.5000 0.0000
Te 0.0000 0.5000 0.7517
Te 0.5000 0.0000 0.2483
Te 0.5000 0.0000 0.7517

Values from the calculation:
Energy in eV per atom: -5.784
Formation energy (no corrections) in kcal/mol of atoms: -27.34
Symmetry: P4/mmm (123)
Crystal system: tetragonal
ΔE to the lowest computed polymorph in eV per atom: 0.000

---

# 12
PrThTe4: relaxed, PBE.

Lattice parameters (Å, degrees): 7.1997 7.1995 8.0894 90.00 90.00 90.00
Fractional positions:
Te 0.7898 0.7102 0.7571
Te 0.7102 0.2102 0.2429
Te 0.7898 0.7102 0.2429
Te 0.2898 0.7898 0.2429
Th 0.5000 0.5000 0.0000
Te 0.2898 0.7898 0.7571
Te 0.7102 0.2102 0.7571
Th 0.0000 0.0000 0.0000
Pr 0.0000 0.0000 0.5000
Te 0.2102 0.2898 0.7571
Te 0.2102 0.2898 0.2429
Pr 0.5000 0.5000 0.5000

Values from the calculation:
Energy in eV per atom: -5.101
Formation energy (no corrections) in kcal/mol of atoms: -22.45
Symmetry: P4/mbm (127)
Crystal system: tetragonal
ΔE to the lowest computed polymorph in eV per atom: 0.000

---

# 13
Pr2Th3Te8: relaxed, PBE.

Lattice parameters (Å, degrees): 7.5367 8.8885 9.1488 119.06 104.74 90.00
Fractional positions:
Te 0.0920 0.8742 0.7484
Th 0.0000 0.2493 0.0000
Te 0.4158 0.8685 0.2429
Pr 0.3257 0.2459 0.4917
Te 0.5842 0.1315 0.7571
Te 0.9080 0.1258 0.2516
Pr 0.6743 0.7541 0.5083
Th 0.0000 0.7507 0.0000
Te 0.8996 0.6129 0.2257
Te 0.5842 0.6255 0.7571
Te 0.1004 0.3871 0.7743
Te 0.4158 0.3745 0.2429
Th 0.5000 0.0000 0.0000

Values from the calculation:
Energy in eV per atom: -5.571
Formation energy (no corrections) in kcal/mol of atoms: -27.43
Symmetry: C2/m (12)
Crystal system: monoclinic
ΔE to the lowest computed polymorph in eV per atom: 0.029

---

# 14
Pr4ThTe5: relaxed, PBE.

Lattice parameters (Å, degrees): 4.5115 4.5115 16.3519 97.93 97.93 90.00
Fractional positions:
Pr 0.8046 0.8046 0.6091
Te 0.7024 0.7024 0.4048
Pr 0.3987 0.3987 0.7974
Te 0.2976 0.2976 0.5952
Te 0.0980 0.0980 0.1960
Pr 0.6013 0.6013 0.2026
Te 0.9020 0.9020 0.8040
Th 0.0000 0.0000 0.0000
Pr 0.1954 0.1954 0.3909
Te 0.5000 0.5000 0.0000

Values from the calculation:
Energy in eV per atom: -5.572
Formation energy (no corrections) in kcal/mol of atoms: -31.08
Symmetry: I4/mmm (139)
Crystal system: tetragonal

---

# 15
PrTh3Te4: relaxed, PBE.

Lattice parameters (Å, degrees): 4.5827 7.7016 7.7016 110.63 90.00 90.00
Fractional positions:
Pr 0.5000 0.0000 0.0000
Te 0.0000 0.2505 0.2505
Te 0.5000 0.7500 0.2500
Te 0.5000 0.2500 0.7500
Th 0.0000 0.0000 0.5000
Te 0.0000 0.7495 0.7495
Th 0.5000 0.5000 0.5000
Th 0.0000 0.5000 0.0000

Values from the calculation:
Energy in eV per atom: -6.063
Formation energy (no corrections) in kcal/mol of atoms: -25.66
Symmetry: Cmmm (65)
Crystal system: orthorhombic
ΔE to the lowest computed polymorph in eV per atom: 0.007

---

# 16
PrThTe3: relaxed, PBE.

Lattice parameters (Å, degrees): 7.7034 7.7847 7.7847 120.00 90.00 90.00
Fractional positions:
Th 0.0000 0.6667 0.3333
Te 0.2500 0.6773 0.6620
Pr 0.5000 0.0000 0.0000
Te 0.2500 0.3380 0.0153
Te 0.7500 0.3380 0.3227
Pr 0.0000 0.0000 0.0000
Th 0.5000 0.6667 0.3333
Te 0.7500 0.9847 0.6620
Te 0.7500 0.6773 0.0153
Te 0.2500 0.9847 0.3227

Values from the calculation:
Energy in eV per atom: -5.594
Formation energy (no corrections) in kcal/mol of atoms: -29.26
Symmetry: P-6c2 (188)
Crystal system: hexagonal
ΔE to the lowest computed polymorph in eV per atom: 0.055

---

# 17
PrTh3Te4: relaxed, PBE.

Lattice parameters (Å, degrees): 4.4824 4.4824 12.6513 90.00 90.00 90.00
Fractional positions:
Te 0.5000 0.5000 0.5000
Te 0.5000 0.5000 0.0000
Te 0.0000 0.0000 0.7500
Th 0.0000 0.0000 0.5000
Th 0.5000 0.5000 0.7483
Pr 0.0000 0.0000 0.0000
Th 0.5000 0.5000 0.2517
Te 0.0000 0.0000 0.2500

Values from the calculation:
Energy in eV per atom: -6.071
Formation energy (no corrections) in kcal/mol of atoms: -25.83
Symmetry: P4/mmm (123)
Crystal system: tetragonal
ΔE to the lowest computed polymorph in eV per atom: 0.000

---

# 18
Pr5ThTe6: relaxed, PBE.

Lattice parameters (Å, degrees): 7.8308 7.8308 7.8473 99.60 99.60 120.19
Fractional positions:
Th 0.0000 0.0000 0.0000
Te 0.2455 0.2455 0.7480
Pr 0.3332 0.6668 0.0000
Pr 0.5000 0.5000 0.5000
Te 0.0825 0.4122 0.2474
Pr 0.8281 0.1719 0.5000
Te 0.4122 0.0825 0.2474
Te 0.7545 0.7545 0.2520
Pr 0.1719 0.8281 0.5000
Te 0.9175 0.5878 0.7526
Te 0.5878 0.9175 0.7526
Pr 0.6668 0.3332 0.0000

Values from the calculation:
Energy in eV per atom: -5.546
Formation energy (no corrections) in kcal/mol of atoms: -31.48
Symmetry: C2/m (12)
Crystal system: monoclinic

---

# 19
PrTh2Tl3Te6: relaxed, PBE.

Lattice parameters (Å, degrees): 7.6896 7.6896 8.8671 98.31 98.31 119.99
Fractional positions:
Te 0.7341 0.7341 0.2241
Pr 0.0000 0.0000 0.0000
Tl 0.5000 0.5000 0.5000
Th 0.3330 0.6670 0.0000
Te 0.0754 0.4158 0.2259
Te 0.5842 0.9246 0.7741
Te 0.2659 0.2659 0.7759
Te 0.9246 0.5842 0.7741
Tl 0.1643 0.8357 0.5000
Tl 0.8357 0.1643 0.5000
Th 0.6670 0.3330 0.0000
Te 0.4158 0.0754 0.2259

Values from the calculation:
Energy in eV per atom: -4.707
Formation energy (no corrections) in kcal/mol of atoms: -20.97
Symmetry: C2/m (12)
Crystal system: monoclinic

---

# 20
Pr2ThTl3Te6: relaxed, PBE.

Lattice parameters (Å, degrees): 7.8328 7.8328 8.7195 98.61 98.61 119.99
Fractional positions:
Tl 0.5000 0.5000 0.5000
Tl 0.1689 0.8311 0.5000
Te 0.4008 0.0741 0.2233
Te 0.9259 0.5992 0.7767
Te 0.2510 0.2510 0.7747
Pr 0.3338 0.6662 0.0000
Th 0.0000 0.0000 0.0000
Pr 0.6662 0.3338 0.0000
Te 0.7490 0.7490 0.2253
Te 0.0741 0.4008 0.2233
Tl 0.8311 0.1689 0.5000
Te 0.5992 0.9259 0.7767

Values from the calculation:
Energy in eV per atom: -4.574
Formation energy (no corrections) in kcal/mol of atoms: -22.98
Symmetry: C2/m (12)
Crystal system: monoclinic